(1)
VASP calculation (GGA-PBE) on a relaxed structure of Sr2NiC2.

* calculated formation energy: 20 kJ/mol of atoms
* space-group type: P4/mbm
* crystal system: tetragonal
* M_tot: 0.000 μB/f.u.
* ΔE to the lowest computed polymorph: 0 meV per atom

Cell: 7.354 7.354 3.529 Å, 90.00 90.00 90.00°
Positions (direct):
Sr  0.222  0.278  0.000
Sr  0.278  0.778  0.000
Sr  0.722  0.222  0.000
Sr  0.778  0.722  0.000
Ni  0.000  0.000  0.500
Ni  0.500  0.500  0.500
C  0.061  0.561  0.500
C  0.439  0.061  0.500
C  0.561  0.939  0.500
C  0.939  0.439  0.500

---

(2)
VASP calculation (GGA-PBE) on a relaxed structure of Sr2NiC2.

* calculated formation energy: 39 kJ/mol of atoms
* space-group type: I4/mmm
* crystal system: tetragonal
* M_tot: 0.000 μB/f.u.
* ΔE to the lowest computed polymorph: 188 meV per atom

Cell: 5.115 5.115 7.819 Å, 90.00 90.00 90.00°
Positions (direct):
Sr  0.000  0.500  0.250
Sr  0.000  0.500  0.750
Sr  0.500  0.000  0.250
Sr  0.500  0.000  0.750
Ni  0.000  0.000  0.000
Ni  0.500  0.500  0.500
C  0.000  0.000  0.419
C  0.000  0.000  0.581
C  0.500  0.500  0.081
C  0.500  0.500  0.919

---

(3)
VASP calculation (GGA-PBE) on a relaxed structure of SrNi2C2.

* calculated formation energy: 23 kJ/mol of atoms
* space-group type: I4/mmm
* crystal system: tetragonal
* M_tot: 0.000 μB/f.u.
* ΔE to the lowest computed polymorph: 136 meV per atom

Cell: 3.472 3.472 10.731 Å, 90.00 90.00 90.00°
Positions (direct):
Sr  0.000  0.000  0.000
Sr  0.500  0.500  0.500
Ni  0.000  0.500  0.250
Ni  0.000  0.500  0.750
Ni  0.500  0.000  0.250
Ni  0.500  0.000  0.750
C  0.000  0.000  0.337
C  0.000  0.000  0.663
C  0.500  0.500  0.163
C  0.500  0.500  0.837

---

(4)
VASP calculation (GGA-PBE) on a relaxed structure of Sr2NiC.

* calculated formation energy: 93 kJ/mol of atoms
* space-group type: I-42d
* crystal system: tetragonal
* M_tot: 2.000 μB/f.u.
* ΔE to the lowest computed polymorph: 122 meV per atom

Cell: 7.413 7.413 7.714 Å, 90.00 90.00 90.00°
Positions (direct):
Sr  0.208  0.250  0.125
Sr  0.250  0.708  0.375
Sr  0.250  0.792  0.875
Sr  0.292  0.250  0.625
Sr  0.708  0.750  0.625
Sr  0.750  0.208  0.875
Sr  0.750  0.292  0.375
Sr  0.792  0.750  0.125
Ni  0.000  0.000  0.500
Ni  0.000  0.500  0.750
Ni  0.500  0.000  0.250
Ni  0.500  0.500  0.000
C  0.000  0.000  0.000
C  0.000  0.500  0.250
C  0.500  0.000  0.750
C  0.500  0.500  0.500

---

(5)
VASP calculation (GGA-PBE) on a relaxed structure of Sr2NiC2.

* calculated formation energy: 54 kJ/mol of atoms
* space-group type: Ibam
* crystal system: orthorhombic
* M_tot: 0.000 μB/f.u.
* ΔE to the lowest computed polymorph: 351 meV per atom

Cell: 6.793 6.793 6.793 Å, 124.00 74.53 135.03°
Positions (direct):
Sr  0.147  0.175  0.322
Sr  0.353  0.675  0.028
Sr  0.647  0.325  0.972
Sr  0.853  0.825  0.678
Ni  0.250  0.750  0.500
Ni  0.750  0.250  0.500
C  0.091  0.672  0.763
C  0.409  0.172  0.580
C  0.591  0.828  0.420
C  0.909  0.328  0.237

---

(6)
VASP calculation (GGA-PBE) on a relaxed structure of Sr2NiC4.

* calculated formation energy: 3 kJ/mol of atoms
* space-group type: Ibam
* crystal system: orthorhombic
* M_tot: 0.000 μB/f.u.

Cell: 7.327 7.327 7.327 Å, 117.45 78.79 137.17°
Positions (direct):
Sr  0.142  0.181  0.323
Sr  0.358  0.681  0.039
Sr  0.642  0.319  0.961
Sr  0.858  0.819  0.677
Ni  0.250  0.750  0.500
Ni  0.750  0.250  0.500
C  0.082  0.664  0.746
C  0.127  0.820  0.947
C  0.373  0.320  0.692
C  0.418  0.164  0.582
C  0.582  0.836  0.418
C  0.627  0.680  0.308
C  0.873  0.180  0.053
C  0.918  0.336  0.254

---

no.,ρ (g cm⁻³),calculated total energy (eV per atom)
1,4.489,-5.307
2,4.188,-5.119
3,5.878,-6.104
4,3.853,-3.630
5,4.783,-4.956
6,4.063,-6.541